Record 1
Below is a geometry-optimized ZrCdTe2 structure, with properties calculated at the PBE level.

a b c (Å): 3.956 3.956 8.838
angles (deg): 76.60 76.60 59.97
Element x y z (fractional)
Cd 0.750 0.750 0.750
Te 0.991 0.991 0.034
Te 0.509 0.509 0.466
Zr 0.250 0.250 0.250

Calculated values
The uncorrected energy comes out at -4.517 eV per atom. For the uncorrected formation energy, the calculation gives -0.58 eV/atom. Its total magnetization is 0.000 μB/atom.

=====

Record 2
Below is a geometry-optimized ZrCdTe2 structure, with properties calculated at the PBE level.

a b c (Å): 7.745 7.745 7.745
angles (deg): 151.59 150.02 41.78
Element x y z (fractional)
Cd 0.710 0.210 0.500
Te 0.035 0.035 0.000
Te 0.302 0.802 0.500
Zr 0.454 0.454 0.000

Calculated values
The uncorrected energy comes out at -4.374 eV per atom. For the uncorrected formation energy, the calculation gives -0.44 eV/atom. Its total magnetization is 0.000 μB/atom.